## Sm2AlPb (PBE)

Data for a relaxed Sm2AlPb crystal.

Unit cell a=10.1263 b=10.1263 c=10.1263 alpha=20.97 beta=20.97 gamma=20.97
Closest atoms and distances in Å follow each position.
Atoms (fractional coordinates):
Sm: 0.2418 0.2418 0.2418  3 Al 3.08
Sm: 0.7582 0.7582 0.7582  3 Al 3.08
Al: 0.5000 0.5000 0.5000  6 Sm 3.08
Pb: 0.0000 0.0000 0.0000  6 Sm 3.45, 6 Pb 3.69

## Properties
- energy relative to the elements (eV per formula unit) = -1.0
- SG = R-3m, No. 166